# Ti5FeP6O24 (PBE with a Hubbard U, relaxed)
data_Ti5FeP6O24
_cell_length_a 8.7456
_cell_length_b 8.7456
_cell_length_c 20.3518
_cell_angle_alpha 90.00
_cell_angle_beta 90.00
_cell_angle_gamma 120.00
_symmetry_space_group_name_H-M 'R 3'
_symmetry_Int_Tables_number 146
_symmetry_space_group_name_Hall 'R 3'
loop_
_atom_site_label
_atom_site_fract_x
_atom_site_fract_y
_atom_site_fract_z
Ti1 0.0000 0.0000 0.0000
Ti2 0.0000 0.0000 0.1416
Ti3 0.0000 0.0000 0.3571
Ti4 0.0000 0.0000 0.5005
Ti5 0.0000 0.0000 0.6452
Fe1 0.0000 0.0000 0.8577
P1 0.9998 0.2953 0.7526
P2 0.0024 0.7087 0.2510
O1 0.0071 0.1776 0.4248
O2 0.0075 0.2134 0.8161
O3 0.0206 0.8275 0.9324
O4 0.0266 0.8260 0.3108
O5 0.1430 0.6732 0.8554
O6 0.1479 0.4712 0.3584
O7 0.1655 0.4839 0.7392
O8 0.1670 0.6834 0.2412
# Magnetic moment in μB per formula unit: 8.05
# Total energy in eV per cell: -851.4